[1]
The following is a DFT calculation (PBE) of an optimized crystal structure of Ta2AlNi.

Results
Energy of formation (eV per atom): 0.122
Density of states at the Fermi level (states/eV per cell): 28.662
Magnetic moment (μB/atom): 0.01
DFT total energy (eV per atom): -8.19

a = 6.334 Å, b = 6.334 Å, c = 6.334 Å
α = 90.00°, β = 90.00°, γ = 90.00°
Space group F-43m (No. 216)
Unique sites:
Ta 0.000 0.000 0.000 [4 per cell]
Ta 0.250 0.250 0.250 [4 per cell]
Al 0.000 0.000 0.500 [4 per cell]
Ni 0.250 0.250 0.750 [4 per cell]



[2]
The following is a DFT calculation (PBE) of an optimized crystal structure of Ta2AlNi4.

Results
ΔE to the lowest computed polymorph (eV/f.u.): 0.000
Energy of formation (eV per atom): -0.087
Density of states at the Fermi level (states/eV per cell): 5.793
Magnetic moment (μB/atom): 0.00
DFT total energy (eV per atom): -7.31

a = 4.640 Å, b = 4.641 Å, c = 5.050 Å
α = 89.46°, β = 89.11°, γ = 62.79°
Space group P-1 (No. 2)
Unique sites:
Ta 0.005 0.002 0.244 [2 per cell]
Al 0.500 0.500 0.500 [1 per cell]
Ni 0.000 0.500 0.500 [1 per cell]
Ni 0.331 0.331 0.997 [2 per cell]
Ni 0.500 0.000 0.500 [1 per cell]



[3]
The following is a DFT calculation (PBE) of an optimized crystal structure of TaAl2Ni.

Results
Energy of formation (eV per atom): -0.300
Density of states at the Fermi level (states/eV per cell): 1.646
Magnetic moment (μB/atom): 0.00
DFT total energy (eV per atom): -6.58

a = 2.990 Å, b = 2.990 Å, c = 6.569 Å
α = 90.00°, β = 90.00°, γ = 90.00°
Space group P4mm (No. 99)
Unique sites:
Ta 0.000 0.000 0.000 [1 per cell]
Al 0.000 0.000 0.546 [1 per cell]
Al 0.500 0.500 0.275 [1 per cell]
Ni 0.500 0.500 0.724 [1 per cell]



[4]
The following is a DFT calculation (PBE) of an optimized crystal structure of Ta2AlNi4.

Results
ΔE to the lowest computed polymorph (eV/f.u.): 5.101
Energy of formation (eV per atom): 0.641
Density of states at the Fermi level (states/eV per cell): 17.244
Magnetic moment (μB/atom): 0.00
DFT total energy (eV per atom): -6.58

a = 4.158 Å, b = 4.158 Å, c = 12.649 Å
α = 90.00°, β = 90.00°, γ = 90.00°
Space group I4/mmm (No. 139)
Unique sites:
Ta 0.000 0.000 0.130 [4 per cell]
Al 0.000 0.000 0.500 [2 per cell]
Ni 0.000 0.000 0.316 [4 per cell]
Ni 0.000 0.500 0.000 [4 per cell]



[5]
The following is a DFT calculation (PBE) of an optimized crystal structure of TaAl3Ni4.

Results
Energy of formation (eV per atom): -0.523
Density of states at the Fermi level (states/eV per cell): 14.644
Magnetic moment (μB/atom): 0.00
DFT total energy (eV per atom): -6.30

a = 4.1494 Å, b = 4.1494 Å, c = 20.6505 Å
α = 90.00°, β = 90.00°, γ = 120.00°
Space group R-3m (No. 166, hexagonal axes)
Unique sites:
Ta 0.0000 0.0000 0.0000 [3 per cell]
Al 0.0000 0.0000 0.2488 [6 per cell]
Al 0.0000 0.0000 0.5000 [3 per cell]
Ni 0.0000 0.0000 0.1250 [6 per cell]
Ni 0.0000 0.0000 0.3786 [6 per cell]



[6]
The following is a DFT calculation (PBE) of an optimized crystal structure of TaAlNi6.

Results
Energy of formation (eV per atom): -0.424
Density of states at the Fermi level (states/eV per cell): 3.125
Magnetic moment (μB/atom): 0.00
DFT total energy (eV per atom): -6.71

a = 5.1262 Å, b = 5.1262 Å, c = 8.3170 Å
α = 90.00°, β = 90.00°, γ = 120.00°
Space group P6_3/mmc (No. 194)
Unique sites:
Ta 0.0000 0.0000 0.0000 [2 per cell]
Al 0.3333 0.6667 0.2500 [2 per cell]
Ni 0.0000 0.5000 0.0000 [6 per cell]
Ni 0.1730 0.3460 0.7500 [6 per cell]



[7]
The following is a DFT calculation (PBE) of an optimized crystal structure of TaAl2Ni.

Results
Energy of formation (eV per atom): 0.018
Density of states at the Fermi level (states/eV per cell): 12.508
Magnetic moment (μB/atom): 0.00
DFT total energy (eV per atom): -6.26

a = 6.910 Å, b = 6.910 Å, c = 5.263 Å
α = 90.00°, β = 90.00°, γ = 90.00°
Space group I-42d (No. 122)
Unique sites:
Ta 0.000 0.000 0.000 [4 per cell]
Al 0.203 0.250 0.625 [8 per cell]
Ni 0.000 0.000 0.500 [4 per cell]



[8]
The following is a DFT calculation (PBE) of an optimized crystal structure of TaAl2Ni.

Results
Energy of formation (eV per atom): -0.056
Density of states at the Fermi level (states/eV per cell): 15.374
Magnetic moment (μB/atom): 0.00
DFT total energy (eV per atom): -6.34

a = 6.182 Å, b = 6.182 Å, c = 6.182 Å
α = 90.00°, β = 90.00°, γ = 90.00°
Space group Fm-3m (No. 225)
Unique sites:
Ta 0.000 0.000 0.000 [4 per cell]
Al 0.250 0.250 0.250 [8 per cell]
Ni 0.000 0.000 0.500 [4 per cell]